Below is an optimized crystal structure of MgCd2NiO4, with properties calculated at the GGA+U level.

Cell lengths 5.4874, 3.1740, 5.6037 Å; angles 90.00, 109.13, 90.00 degrees
Fractional coordinates of all 8 atoms:
Mg 0.0000 0.0000 0.0000
Cd 0.0000 0.5000 0.5000
Cd 0.5000 0.0000 0.5000
Ni 0.5000 0.5000 0.0000
O 0.2380 0.5000 0.2176
O 0.2609 0.0000 0.7840
O 0.7391 0.0000 0.2160
O 0.7620 0.5000 0.7824

* SG: P2/m
* calculated volume: 92 Å³ per cell
* uncorrected energy: -4.63 eV per atom